# 1
# Li2FeRh

Li2FeRh after structural relaxation (PBE, Alexandria).

Cell: 2.538 2.538 8.377 Å, 90.00 90.00 90.00°
Space group P4/mmm (No. 123)
One atom of each set of equivalent atoms:
Li  0.000  0.000  0.242 (multiplicity 2)
Fe  0.500  0.500  0.500 (multiplicity 1)
Rh  0.500  0.500  0.000 (multiplicity 1)

Values from the calculation:
Crystal system ... tetragonal
Mass density ... 5.31 g/cm3
Total DFT energy (no corrections) ... -18.99 eV per cell
ΔE_f ... 62.4 kJ/mol of formula units

---

# 2
# NaZnI2

NaZnI2 after structural relaxation (PBE, Alexandria).

Cell: 6.627 6.627 15.656 Å, 90.00 90.00 90.00°
Space group I-42d (No. 122)
One atom of each set of equivalent atoms:
Na  0.000  0.000  0.000 (multiplicity 4)
Zn  0.000  0.000  0.500 (multiplicity 4)
I  0.216  0.250  0.625 (multiplicity 8)

Values from the calculation:
Crystal system ... tetragonal
Mass density ... 3.31 g/cm3
Total DFT energy (no corrections) ... -31.66 eV per cell
Formation energy from raw total energies ... -54 kJ/mol of atoms
E above lowest polymorph ... 0.000 eV/f.u.

---

# 3
# CoOsCl2

CoOsCl2 after structural relaxation (PBE, Alexandria).

Cell: 3.0477 3.0477 23.1348 Å, 90.00 90.00 120.00°
Space group R-3m (No. 166, hexagonal axes)
One atom of each set of equivalent atoms:
Co  0.0000  0.0000  0.0000 (multiplicity 3)
Os  0.0000  0.0000  0.5000 (multiplicity 3)
Cl  0.0000  0.0000  0.4011 (multiplicity 6)

Values from the calculation:
Crystal system ... trigonal
Mass density ... 8.57 g/cm3
Total DFT energy (no corrections) ... -60.07 eV per cell
Formation energy from raw total energies ... 48 kJ/mol of atoms
E above lowest polymorph ... 1.263 eV/f.u.

---

# 4
# Li2Cd2Rh

Li2Cd2Rh after structural relaxation (PBE, Alexandria).

Cell: 4.5758 4.5758 14.0297 Å, 90.00 90.00 120.00°
Space group R-3m (No. 166, hexagonal axes)
One atom of each set of equivalent atoms:
Li  0.0000  0.0000  0.1945 (multiplicity 6)
Cd  0.0000  0.0000  0.3958 (multiplicity 6)
Rh  0.0000  0.0000  0.0000 (multiplicity 3)

Values from the calculation:
Crystal system ... trigonal
Mass density ... 6.69 g/cm3
Total DFT energy (no corrections) ... -42.46 eV per cell
ΔE_f ... -110.5 kJ/mol of formula units
E above lowest polymorph ... 0.000 eV/f.u.